Entry P
# DyUSb2 | Alexandria via LeMat-Bulk | PBE-GGA | optimized geometry
# **Total moment**: 8.00 Bohr magnetons per cell
data_DyUSb2
_space_group_name_H-M_alt 'R -3 m'
_space_group_IT_number 166
_space_group_name_Hall '-R 3 2"'
_cell_length_a 4.3328
_cell_length_b 4.3328
_cell_length_c 21.9086
_cell_angle_alpha 90.00
_cell_angle_beta 90.00
_cell_angle_gamma 120.00
loop_
_atom_site_label
_atom_site_type_symbol
_atom_site_fract_x
_atom_site_fract_y
_atom_site_fract_z
_atom_site_occupancy
Dy1 Dy 0.0000 0.0000 0.0000 1
U1 U 0.0000 0.0000 0.5000 1
Sb1 Sb 0.0000 0.0000 0.2505 1

Entry Q
# DyUSb2 | Alexandria via LeMat-Bulk | PBE-GGA | optimized geometry
# **Total moment**: 8.51 Bohr magnetons per cell
data_DyUSb2
_space_group_name_H-M_alt 'R 3 m'
_space_group_IT_number 160
_space_group_name_Hall 'R 3 -2"'
_cell_length_a 4.3010
_cell_length_b 4.3010
_cell_length_c 22.6583
_cell_angle_alpha 90.00
_cell_angle_beta 90.00
_cell_angle_gamma 120.00
loop_
_atom_site_label
_atom_site_type_symbol
_atom_site_fract_x
_atom_site_fract_y
_atom_site_fract_z
_atom_site_occupancy
Dy1 Dy 0.0000 0.0000 0.0000 1
U1 U 0.0000 0.0000 0.8291 1
Sb1 Sb 0.0000 0.0000 0.2469 1
Sb2 Sb 0.0000 0.0000 0.4154 1

Entry R
# DyUSb2 | Alexandria via LeMat-Bulk | PBE-GGA | optimized geometry
# **Total moment**: 6.06 Bohr magnetons per cell
data_DyUSb2
_space_group_name_H-M_alt 'R -3 m'
_space_group_IT_number 166
_space_group_name_Hall '-R 3 2"'
_cell_length_a 4.1110
_cell_length_b 4.1110
_cell_length_c 29.5055
_cell_angle_alpha 90.00
_cell_angle_beta 90.00
_cell_angle_gamma 120.00
loop_
_atom_site_label
_atom_site_type_symbol
_atom_site_fract_x
_atom_site_fract_y
_atom_site_fract_z
_atom_site_occupancy
Dy1 Dy 0.0000 0.0000 0.0000 1
U1 U 0.0000 0.0000 0.5000 1
Sb1 Sb 0.0000 0.0000 0.1014 1

Most favorable first, least favorable last: entry P, entry Q, entry R

Entry P
# DyY3Sb2 | Alexandria via LeMat-Bulk | PBE-GGA | optimized geometry
# **Total moment**: 0.00 Bohr magnetons per cell
data_DyY3Sb2
_space_group_name_H-M_alt 'P -4 m 2'
_space_group_IT_number 115
_space_group_name_Hall 'P -4 -2'
_cell_length_a 4.4827
_cell_length_b 4.4827
_cell_length_c 8.4730
_cell_angle_alpha 90.00
_cell_angle_beta 90.00
_cell_angle_gamma 90.00
loop_
_atom_site_label
_atom_site_type_symbol
_atom_site_fract_x
_atom_site_fract_y
_atom_site_fract_z
_atom_site_occupancy
Dy1 Dy 0.0000 0.0000 0.0000 1
Y1 Y 0.0000 0.5000 0.3513 1
Y2 Y 0.5000 0.5000 0.0000 1
Sb1 Sb 0.0000 0.5000 0.7204 1

Entry Q
# DyY3Sb2 | Alexandria via LeMat-Bulk | PBE-GGA | optimized geometry
# **Total moment**: 1.78 Bohr magnetons per cell
data_DyY3Sb2
_space_group_name_H-M_alt 'I b a m'
_space_group_IT_number 72
_space_group_name_Hall '-I 2 2c'
_cell_length_a 7.0351
_cell_length_b 14.3989
_cell_length_c 7.5989
_cell_angle_alpha 90.00
_cell_angle_beta 90.00
_cell_angle_gamma 90.00
loop_
_atom_site_label
_atom_site_type_symbol
_atom_site_fract_x
_atom_site_fract_y
_atom_site_fract_z
_atom_site_occupancy
Dy1 Dy 0.0000 0.0000 0.0000 1
Y1 Y 0.0000 0.2074 0.2500 1
Y2 Y 0.0000 0.5000 0.2500 1
Sb1 Sb 0.1754 0.3532 0.0000 1

Most favorable first, least favorable last: entry P, entry Q

Entry P
# DyY3Sb3 | Alexandria via LeMat-Bulk | PBE-GGA | optimized geometry
# **Total moment**: 0.00 Bohr magnetons per cell
data_DyY3Sb3
_space_group_name_H-M_alt 'R -3'
_space_group_IT_number 148
_space_group_name_Hall '-R 3'
_cell_length_a 8.9732
_cell_length_b 8.9732
_cell_length_c 18.4406
_cell_angle_alpha 90.00
_cell_angle_beta 90.00
_cell_angle_gamma 120.00
loop_
_atom_site_label
_atom_site_type_symbol
_atom_site_fract_x
_atom_site_fract_y
_atom_site_fract_z
_atom_site_occupancy
Dy1 Dy 0.0000 0.0000 0.1663 1
Y1 Y 0.0028 0.2636 0.5848 1
Sb1 Sb 0.0039 0.3880 0.4185 1

Entry Q
# DyY3Sb3 | Alexandria via LeMat-Bulk | PBE-GGA | optimized geometry
# **Total moment**: 0.00 Bohr magnetons per cell
data_DyY3Sb3
_space_group_name_H-M_alt 'P 21 3'
_space_group_IT_number 198
_space_group_name_Hall 'P 2ac 2ab 3'
_cell_length_a 9.2079
_cell_length_b 9.2079
_cell_length_c 9.2079
_cell_angle_alpha 90.00
_cell_angle_beta 90.00
_cell_angle_gamma 90.00
loop_
_atom_site_label
_atom_site_type_symbol
_atom_site_fract_x
_atom_site_fract_y
_atom_site_fract_z
_atom_site_occupancy
Dy1 Dy 0.0718 0.4282 0.5718 1
Y1 Y 0.0720 0.5720 0.9280 1
Y2 Y 0.1779 0.1779 0.1779 1
Y3 Y 0.1780 0.8220 0.3220 1
Sb1 Sb 0.9999 0.2498 0.8749 1

Most favorable first, least favorable last: entry Q, entry P

Entry P
# DyYSb2 | Alexandria via LeMat-Bulk | PBE-GGA | optimized geometry
# **Total moment**: 0.00 Bohr magnetons per cell
data_DyYSb2
_space_group_name_H-M_alt 'R -3 m'
_space_group_IT_number 166
_space_group_name_Hall '-R 3 2"'
_cell_length_a 4.3894
_cell_length_b 4.3894
_cell_length_c 21.4885
_cell_angle_alpha 90.00
_cell_angle_beta 90.00
_cell_angle_gamma 120.00
loop_
_atom_site_label
_atom_site_type_symbol
_atom_site_fract_x
_atom_site_fract_y
_atom_site_fract_z
_atom_site_occupancy
Dy1 Dy 0.0000 0.0000 0.0000 1
Y1 Y 0.0000 0.0000 0.5000 1
Sb1 Sb 0.0000 0.0000 0.2502 1

Entry Q
# DyYSb2 | Alexandria via LeMat-Bulk | PBE-GGA | optimized geometry
# **Total moment**: 0.00 Bohr magnetons per cell
data_DyYSb2
_space_group_name_H-M_alt 'P 63/m m c'
_space_group_IT_number 194
_space_group_name_Hall '-P 6c 2c'
_cell_length_a 4.3782
_cell_length_b 4.3782
_cell_length_c 14.4555
_cell_angle_alpha 90.00
_cell_angle_beta 90.00
_cell_angle_gamma 120.00
loop_
_atom_site_label
_atom_site_type_symbol
_atom_site_fract_x
_atom_site_fract_y
_atom_site_fract_z
_atom_site_occupancy
Dy1 Dy 0.0000 0.0000 0.0000 1
Y1 Y 0.3333 0.6667 0.2500 1
Sb1 Sb 0.3333 0.6667 0.6224 1

Entry R
# DyYSb2 | Alexandria via LeMat-Bulk | PBE-GGA | optimized geometry
# **Total moment**: 0.00 Bohr magnetons per cell
data_DyYSb2
_space_group_name_H-M_alt 'R 3 m'
_space_group_IT_number 160
_space_group_name_Hall 'R 3 -2"'
_cell_length_a 4.3544
_cell_length_b 4.3544
_cell_length_c 22.3062
_cell_angle_alpha 90.00
_cell_angle_beta 90.00
_cell_angle_gamma 120.00
loop_
_atom_site_label
_atom_site_type_symbol
_atom_site_fract_x
_atom_site_fract_y
_atom_site_fract_z
_atom_site_occupancy
Dy1 Dy 0.0000 0.0000 0.0000 1
Y1 Y 0.0000 0.0000 0.1707 1
Sb1 Sb 0.0000 0.0000 0.5840 1
Sb2 Sb 0.0000 0.0000 0.7531 1

Most favorable first, least favorable last: entry P, entry Q, entry R

Entry P
# DyZnSb | Alexandria via LeMat-Bulk | PBE-GGA | optimized geometry
# **Total moment**: 0.00 Bohr magnetons per cell
data_DyZnSb
_space_group_name_H-M_alt 'P -1'
_space_group_IT_number 2
_space_group_name_Hall '-P 1'
_cell_length_a 3.4891
_cell_length_b 4.5477
_cell_length_c 10.3607
_cell_angle_alpha 79.30
_cell_angle_beta 89.87
_cell_angle_gamma 89.73
loop_
_atom_site_label
_atom_site_type_symbol
_atom_site_fract_x
_atom_site_fract_y
_atom_site_fract_z
_atom_site_occupancy
Dy1 Dy 0.0006 0.3324 0.3046 1
Zn1 Zn 0.5000 0.2269 0.5547 1
Sb1 Sb 0.4994 0.1127 0.8265 1

Entry Q
# DyZnSb | Alexandria via LeMat-Bulk | PBE-GGA | optimized geometry
# **Total moment**: 0.00 Bohr magnetons per cell
data_DyZnSb
_space_group_name_H-M_alt 'P 3 m 1'
_space_group_IT_number 156
_space_group_name_Hall 'P 3 -2"'
_cell_length_a 4.3921
_cell_length_b 4.3921
_cell_length_c 4.2915
_cell_angle_alpha 90.00
_cell_angle_beta 90.00
_cell_angle_gamma 120.00
loop_
_atom_site_label
_atom_site_type_symbol
_atom_site_fract_x
_atom_site_fract_y
_atom_site_fract_z
_atom_site_occupancy
Dy1 Dy 0.0000 0.0000 0.0000 1
Zn1 Zn 0.3333 0.6667 0.6748 1
Sb1 Sb 0.6667 0.3333 0.4507 1

Most favorable first, least favorable last: entry Q, entry P

Entry P
# Dy2Sc5 | Alexandria via LeMat-Bulk | PBE-GGA | optimized geometry
# **Total moment**: 0.00 Bohr magnetons per cell
data_Dy2Sc5
_space_group_name_H-M_alt 'R -3 m'
_space_group_IT_number 166
_space_group_name_Hall '-R 3 2"'
_cell_length_a 5.3033
_cell_length_b 5.3033
_cell_length_c 22.9551
_cell_angle_alpha 90.00
_cell_angle_beta 90.00
_cell_angle_gamma 120.00
loop_
_atom_site_label
_atom_site_type_symbol
_atom_site_fract_x
_atom_site_fract_y
_atom_site_fract_z
_atom_site_occupancy
Dy1 Dy 0.0000 0.0000 0.1373 1
Sc1 Sc 0.0000 0.0000 0.0000 1
Sc2 Sc 0.0000 0.0000 0.2888 1
Sc3 Sc 0.0000 0.0000 0.4262 1

Entry Q
# Dy2Sc5 | Alexandria via LeMat-Bulk | PBE-GGA | optimized geometry
# **Total moment**: 0.00 Bohr magnetons per cell
data_Dy2Sc5
_space_group_name_H-M_alt 'C 1 2/m 1'
_space_group_IT_number 12
_space_group_name_Hall '-C 2y'
_cell_length_a 10.5116
_cell_length_b 4.7285
_cell_length_c 7.4946
_cell_angle_alpha 90.00
_cell_angle_beta 98.27
_cell_angle_gamma 90.00
loop_
_atom_site_label
_atom_site_type_symbol
_atom_site_fract_x
_atom_site_fract_y
_atom_site_fract_z
_atom_site_occupancy
Dy1 Dy 0.0720 0.0000 0.2178 1
Sc1 Sc 0.0000 0.5000 0.5000 1
Sc2 Sc 0.1443 0.5000 0.9287 1
Sc3 Sc 0.2138 0.0000 0.6430 1

Most favorable first, least favorable last: entry Q, entry P

Entry P
# DySc7 | Alexandria via LeMat-Bulk | PBE-GGA | optimized geometry
# **Total moment**: 0.00 Bohr magnetons per cell
data_DySc7
_space_group_name_H-M_alt 'F m -3 m'
_space_group_IT_number 225
_space_group_name_Hall '-F 4 2 3'
_cell_length_a 9.3140
_cell_length_b 9.3140
_cell_length_c 9.3140
_cell_angle_alpha 90.00
_cell_angle_beta 90.00
_cell_angle_gamma 90.00
loop_
_atom_site_label
_atom_site_type_symbol
_atom_site_fract_x
_atom_site_fract_y
_atom_site_fract_z
_atom_site_occupancy
Dy1 Dy 0.0000 0.0000 0.0000 1
Sc1 Sc 0.0000 0.0000 0.5000 1
Sc2 Sc 0.0000 0.2500 0.2500 1

Entry Q
# DySc7 | Alexandria via LeMat-Bulk | PBE-GGA | optimized geometry
# **Total moment**: 0.00 Bohr magnetons per cell
data_DySc7
_space_group_name_H-M_alt 'I m m m'
_space_group_IT_number 71
_space_group_name_Hall '-I 2 2'
_cell_length_a 3.2634
_cell_length_b 10.2712
_cell_length_c 12.0768
_cell_angle_alpha 90.00
_cell_angle_beta 90.00
_cell_angle_gamma 90.00
loop_
_atom_site_label
_atom_site_type_symbol
_atom_site_fract_x
_atom_site_fract_y
_atom_site_fract_z
_atom_site_occupancy
Dy1 Dy 0.0000 0.0000 0.0000 1
Sc1 Sc 0.0000 0.2304 0.3662 1
Sc2 Sc 0.0000 0.5000 0.0000 1
Sc3 Sc 0.0000 0.5000 0.2544 1

Most favorable first, least favorable last: entry Q, entry P

Entry P
# Dy8Sc3 | Alexandria via LeMat-Bulk | PBE-GGA | optimized geometry
# **Total moment**: 0.00 Bohr magnetons per cell
data_Dy8Sc3
_space_group_name_H-M_alt 'R -3'
_space_group_IT_number 148
_space_group_name_Hall '-R 3'
_cell_length_a 9.4076
_cell_length_b 9.4076
_cell_length_c 13.1502
_cell_angle_alpha 90.00
_cell_angle_beta 90.00
_cell_angle_gamma 120.00
loop_
_atom_site_label
_atom_site_type_symbol
_atom_site_fract_x
_atom_site_fract_y
_atom_site_fract_z
_atom_site_occupancy
Dy1 Dy 0.0000 0.0000 0.1218 1
Dy2 Dy 0.0396 0.2357 0.6136 1
Sc1 Sc 0.0000 0.5000 0.5000 1

Entry Q
# Dy8Sc3 | Alexandria via LeMat-Bulk | PBE-GGA | optimized geometry
# **Total moment**: 0.00 Bohr magnetons per cell
data_Dy8Sc3
_space_group_name_H-M_alt 'R -3 m'
_space_group_IT_number 166
_space_group_name_Hall '-R 3 2"'
_cell_length_a 3.4794
_cell_length_b 3.4794
_cell_length_c 92.5034
_cell_angle_alpha 90.00
_cell_angle_beta 90.00
_cell_angle_gamma 120.00
loop_
_atom_site_label
_atom_site_type_symbol
_atom_site_fract_x
_atom_site_fract_y
_atom_site_fract_z
_atom_site_occupancy
Dy1 Dy 0.0000 0.0000 0.0471 1
Dy2 Dy 0.0000 0.0000 0.1373 1
Dy3 Dy 0.0000 0.0000 0.3176 1
Dy4 Dy 0.0000 0.0000 0.4120 1
Sc1 Sc 0.0000 0.0000 0.2254 1
Sc2 Sc 0.0000 0.0000 0.5000 1

Most favorable first, least favorable last: entry Q, entry P